(1)
A plane-wave DFT calculation with PBE-GGA was carried out for crystalline PuPRuF at its relaxed geometry.

Values from the calculation:
The space group is P4/nmm. For the density of states at the Fermi level, the calculation gives 16.6 states/eV/cell. Its formation energy (no corrections) is -1.785 eV per atom.

a = 3.991 Å, b = 3.991 Å, c = 8.265 Å
α = 90.00°, β = 90.00°, γ = 90.00°
Fractional coordinates of all 8 atoms:
Pu (0.250, 0.250, 0.190)
Pu (0.750, 0.750, 0.810)
P (0.250, 0.250, 0.650)
P (0.750, 0.750, 0.350)
Ru (0.250, 0.750, 0.500)
Ru (0.750, 0.250, 0.500)
F (0.250, 0.750, 0.000)
F (0.750, 0.250, 0.000)

=====

(2)
A plane-wave DFT calculation with PBE-GGA was carried out for crystalline RbP2F at its relaxed geometry.

Values from the calculation:
The space group is Fm-3m. For the density of states at the Fermi level, the calculation gives 1.8 states/eV/cell. As for the energy above the most stable polymorph in this dataset: 1372 meV/atom. Its formation energy (no corrections) is 0.716 eV per atom.

a = 4.961 Å, b = 4.961 Å, c = 4.961 Å
α = 60.00°, β = 60.00°, γ = 60.00°
Fractional coordinates of all 4 atoms:
Rb (0.000, 0.000, 0.000)
P (0.250, 0.250, 0.250)
P (0.750, 0.750, 0.750)
F (0.500, 0.500, 0.500)

=====

(3)
A plane-wave DFT calculation with PBE-GGA was carried out for crystalline RbPF3 at its relaxed geometry.

Values from the calculation:
The space group is I4/mmm. For the density of states at the Fermi level, the calculation gives 0.0 states/eV/cell. As for the energy above the most stable polymorph in this dataset: 0 meV/atom. Its formation energy (no corrections) is -1.868 eV per atom.

a = 6.794 Å, b = 6.794 Å, c = 6.794 Å
α = 129.24°, β = 129.24°, γ = 74.63°
Fractional coordinates of all 10 atoms:
Rb (0.250, 0.750, 0.500)
Rb (0.750, 0.250, 0.500)
P (0.000, 0.000, 0.000)
P (0.500, 0.500, 0.000)
F (0.175, 0.175, 0.000)
F (0.243, 0.243, 0.487)
F (0.243, 0.757, 0.000)
F (0.757, 0.243, 0.000)
F (0.757, 0.757, 0.513)
F (0.825, 0.825, 0.000)

=====

(4)
A plane-wave DFT calculation with PBE-GGA was carried out for crystalline RbPF3 at its relaxed geometry.

Values from the calculation:
The space group is Pm-3m. For the density of states at the Fermi level, the calculation gives 10.8 states/eV/cell. As for the energy above the most stable polymorph in this dataset: 1493 meV/atom. Its formation energy (no corrections) is -0.374 eV per atom.

a = 5.012 Å, b = 5.012 Å, c = 5.012 Å
α = 90.00°, β = 90.00°, γ = 90.00°
Fractional coordinates of all 5 atoms:
Rb (0.000, 0.000, 0.000)
P (0.500, 0.500, 0.500)
F (0.000, 0.000, 0.500)
F (0.000, 0.500, 0.000)
F (0.500, 0.000, 0.000)

=====

(5)
A plane-wave DFT calculation with PBE-GGA was carried out for crystalline Rb2PF6 at its relaxed geometry.

Values from the calculation:
The space group is Fm-3m. For the density of states at the Fermi level, the calculation gives 2.6 states/eV/cell. Its formation energy (no corrections) is -2.496 eV per atom.

a = 6.140 Å, b = 6.140 Å, c = 6.140 Å
α = 60.00°, β = 60.00°, γ = 60.00°
Fractional coordinates of all 9 atoms:
Rb (0.250, 0.250, 0.250)
Rb (0.750, 0.750, 0.750)
P (0.000, 0.000, 0.000)
F (0.209, 0.209, 0.791)
F (0.209, 0.791, 0.209)
F (0.209, 0.791, 0.791)
F (0.791, 0.209, 0.209)
F (0.791, 0.209, 0.791)
F (0.791, 0.791, 0.209)

=====

(6)
A plane-wave DFT calculation with PBE-GGA was carried out for crystalline RbPF2 at its relaxed geometry.

Values from the calculation:
The space group is Fm-3m. For the density of states at the Fermi level, the calculation gives 6.2 states/eV/cell. As for the energy above the most stable polymorph in this dataset: 727 meV/atom. Its formation energy (no corrections) is -0.808 eV per atom.

a = 4.706 Å, b = 4.706 Å, c = 4.706 Å
α = 60.00°, β = 60.00°, γ = 60.00°
Fractional coordinates of all 4 atoms:
Rb (0.000, 0.000, 0.000)
P (0.500, 0.500, 0.500)
F (0.250, 0.250, 0.250)
F (0.750, 0.750, 0.750)

=====

(7)
A plane-wave DFT calculation with PBE-GGA was carried out for crystalline RbP2F8 at its relaxed geometry.

Values from the calculation:
The space group is C2/m. Its formation energy (no corrections) is -2.376 eV per atom.

a = 5.952 Å, b = 5.952 Å, c = 7.324 Å
α = 120.55°, β = 120.55°, γ = 68.28°
Fractional coordinates of all 11 atoms:
Rb (0.000, 0.000, 0.000)
P (0.480, 0.480, 0.315)
P (0.520, 0.520, 0.685)
F (0.225, 0.727, 0.303)
F (0.273, 0.775, 0.697)
F (0.323, 0.323, 0.585)
F (0.377, 0.377, 0.037)
F (0.623, 0.623, 0.963)
F (0.677, 0.677, 0.415)
F (0.727, 0.225, 0.303)
F (0.775, 0.273, 0.697)

=====

(8)
A plane-wave DFT calculation with PBE-GGA was carried out for crystalline RbP2F at its relaxed geometry.

Values from the calculation:
The space group is I4_1/amd. For the density of states at the Fermi level, the calculation gives 2.8 states/eV/cell. As for the energy above the most stable polymorph in this dataset: 0 meV/atom. Its formation energy (no corrections) is -0.656 eV per atom.

a = 14.167 Å, b = 14.167 Å, c = 14.167 Å
α = 163.20°, β = 163.20°, γ = 23.84°
Fractional coordinates of all 8 atoms:
Rb (0.375, 0.625, 0.750)
Rb (0.625, 0.375, 0.250)
P (0.000, 0.000, 0.000)
P (0.000, 0.000, 0.500)
P (0.000, 0.500, 0.000)
P (0.500, 0.000, 0.500)
F (0.125, 0.875, 0.250)
F (0.875, 0.125, 0.750)

=====

(9)
A plane-wave DFT calculation with PBE-GGA was carried out for crystalline Rb3PF at its relaxed geometry.

Values from the calculation:
The space group is C2/m. For the density of states at the Fermi level, the calculation gives 4.0 states/eV/cell. As for the energy above the most stable polymorph in this dataset: 0 meV/atom. Its formation energy (no corrections) is -1.136 eV per atom.

a = 7.630 Å, b = 7.630 Å, c = 11.242 Å
α = 99.04°, β = 99.04°, γ = 34.08°
Fractional coordinates of all 10 atoms:
Rb (0.117, 0.117, 0.235)
Rb (0.148, 0.148, 0.607)
Rb (0.350, 0.350, 0.093)
Rb (0.650, 0.650, 0.907)
Rb (0.852, 0.852, 0.393)
Rb (0.883, 0.883, 0.765)
P (0.471, 0.471, 0.583)
P (0.529, 0.529, 0.417)
F (0.256, 0.256, 0.849)
F (0.744, 0.744, 0.151)

=====

(10)
A plane-wave DFT calculation with PBE-GGA was carried out for crystalline Rb2PF8 at its relaxed geometry.

Values from the calculation:
The space group is C2/m. Its formation energy (no corrections) is -2.492 eV per atom.

a = 6.767 Å, b = 6.767 Å, c = 4.964 Å
α = 100.73°, β = 100.73°, γ = 74.82°
Fractional coordinates of all 11 atoms:
Rb (0.179, 0.179, 0.432)
Rb (0.821, 0.821, 0.568)
P (0.500, 0.500, 0.000)
F (0.065, 0.065, 0.883)
F (0.275, 0.557, 0.803)
F (0.397, 0.397, 0.195)
F (0.443, 0.725, 0.197)
F (0.557, 0.275, 0.803)
F (0.603, 0.603, 0.805)
F (0.725, 0.443, 0.197)
F (0.935, 0.935, 0.117)

=====

(11)
A plane-wave DFT calculation with PBE-GGA was carried out for crystalline RbPF2 at its relaxed geometry.

Values from the calculation:
The space group is I-42d. For the density of states at the Fermi level, the calculation gives 0.0 states/eV/cell. As for the energy above the most stable polymorph in this dataset: 394 meV/atom. Its formation energy (no corrections) is -1.140 eV per atom.

a = 7.958 Å, b = 7.958 Å, c = 7.958 Å
α = 143.26°, β = 143.26°, γ = 52.93°
Fractional coordinates of all 8 atoms:
Rb (0.000, 0.000, 0.000)
Rb (0.750, 0.250, 0.500)
P (0.250, 0.750, 0.500)
P (0.500, 0.500, 0.000)
F (0.244, 0.625, 0.119)
F (0.375, 0.494, 0.619)
F (0.506, 0.125, 0.881)
F (0.875, 0.756, 0.381)

=====

(12)
A plane-wave DFT calculation with PBE-GGA was carried out for crystalline Rb2PF5 at its relaxed geometry.

Values from the calculation:
The space group is I4mm. For the density of states at the Fermi level, the calculation gives 0.0 states/eV/cell. Its formation energy (no corrections) is -2.522 eV per atom.

a = 5.982 Å, b = 5.982 Å, c = 5.982 Å
α = 116.53°, β = 116.53°, γ = 96.12°
Fractional coordinates of all 8 atoms:
Rb (0.000, 0.500, 0.500)
Rb (0.500, 0.000, 0.500)
P (0.270, 0.270, 0.000)
F (0.038, 0.038, 0.581)
F (0.038, 0.457, 0.000)
F (0.062, 0.062, 0.000)
F (0.457, 0.038, 0.000)
F (0.457, 0.457, 0.419)

=====

(13)
A plane-wave DFT calculation with PBE-GGA was carried out for crystalline RbPF2 at its relaxed geometry.

Values from the calculation:
The space group is R-3m. For the density of states at the Fermi level, the calculation gives 0.0 states/eV/cell. As for the energy above the most stable polymorph in this dataset: 358 meV/atom. Its formation energy (no corrections) is -1.176 eV per atom.

a = 5.602 Å, b = 5.602 Å, c = 5.602 Å
α = 41.80°, β = 41.80°, γ = 41.80°
Fractional coordinates of all 4 atoms:
Rb (0.000, 0.000, 0.000)
P (0.500, 0.500, 0.500)
F (0.194, 0.194, 0.194)
F (0.806, 0.806, 0.806)

=====

(14)
A plane-wave DFT calculation with PBE-GGA was carried out for crystalline RbPF4 at its relaxed geometry.

Values from the calculation:
The space group is Pmn2_1. For the density of states at the Fermi level, the calculation gives 0.0 states/eV/cell. Its formation energy (no corrections) is -2.375 eV per atom.

a = 8.115 Å, b = 4.908 Å, c = 6.338 Å
α = 90.00°, β = 90.00°, γ = 90.00°
Fractional coordinates of all 12 atoms:
Rb (0.000, 0.227, 0.000)
Rb (0.500, 0.773, 0.500)
P (0.000, 0.703, 0.509)
P (0.500, 0.297, 0.009)
F (0.000, 0.034, 0.483)
F (0.000, 0.731, 0.185)
F (0.155, 0.732, 0.688)
F (0.345, 0.268, 0.188)
F (0.500, 0.269, 0.685)
F (0.500, 0.966, 0.983)
F (0.655, 0.268, 0.188)
F (0.845, 0.732, 0.688)

=====

(15)
A plane-wave DFT calculation with PBE-GGA was carried out for crystalline RbPF2 at its relaxed geometry.

Values from the calculation:
The space group is R-3m. For the density of states at the Fermi level, the calculation gives 1.0 states/eV/cell. As for the energy above the most stable polymorph in this dataset: 0 meV/atom. Its formation energy (no corrections) is -1.534 eV per atom.

a = 7.563 Å, b = 7.563 Å, c = 7.563 Å
α = 27.75°, β = 27.75°, γ = 27.75°
Fractional coordinates of all 4 atoms:
Rb (0.000, 0.000, 0.000)
P (0.500, 0.500, 0.500)
F (0.412, 0.412, 0.412)
F (0.588, 0.588, 0.588)

=====

(16)
A plane-wave DFT calculation with PBE-GGA was carried out for crystalline RbPF3 at its relaxed geometry.

Values from the calculation:
The space group is Pm-3m. For the density of states at the Fermi level, the calculation gives 2.5 states/eV/cell. As for the energy above the most stable polymorph in this dataset: 150 meV/atom. Its formation energy (no corrections) is -1.718 eV per atom.

a = 4.360 Å, b = 4.360 Å, c = 4.360 Å
α = 90.00°, β = 90.00°, γ = 90.00°
Fractional coordinates of all 5 atoms:
Rb (0.000, 0.000, 0.000)
P (0.500, 0.500, 0.500)
F (0.000, 0.500, 0.500)
F (0.500, 0.000, 0.500)
F (0.500, 0.500, 0.000)

=====

(17)
A plane-wave DFT calculation with PBE-GGA was carried out for crystalline Rb12P3F5 at its relaxed geometry.

Values from the calculation:
The space group is Ia-3d. For the density of states at the Fermi level, the calculation gives 54.5 states/eV/cell. Its formation energy (no corrections) is -1.338 eV per atom.

a = 15.624 Å, b = 15.624 Å, c = 15.624 Å
α = 109.47°, β = 109.47°, γ = 109.47°
Fractional coordinates of all 80 atoms:
Rb (0.029, 0.207, 0.124)
Rb (0.029, 0.322, 0.905)
Rb (0.083, 0.707, 0.678)
Rb (0.083, 0.876, 0.405)
Rb (0.095, 0.624, 0.417)
Rb (0.095, 0.971, 0.678)
Rb (0.124, 0.029, 0.207)
Rb (0.124, 0.595, 0.917)
Rb (0.178, 0.207, 0.583)
Rb (0.178, 0.471, 0.595)
Rb (0.207, 0.124, 0.029)
Rb (0.207, 0.583, 0.178)
Rb (0.293, 0.322, 0.917)
Rb (0.293, 0.471, 0.376)
Rb (0.322, 0.905, 0.029)
Rb (0.322, 0.917, 0.293)
Rb (0.376, 0.293, 0.471)
Rb (0.376, 0.583, 0.905)
Rb (0.405, 0.083, 0.876)
Rb (0.405, 0.822, 0.529)
Rb (0.417, 0.095, 0.624)
Rb (0.417, 0.822, 0.793)
Rb (0.471, 0.376, 0.293)
Rb (0.471, 0.595, 0.178)
Rb (0.529, 0.405, 0.822)
Rb (0.529, 0.624, 0.707)
Rb (0.583, 0.178, 0.207)
Rb (0.583, 0.905, 0.376)
Rb (0.595, 0.178, 0.471)
Rb (0.595, 0.917, 0.124)
Rb (0.624, 0.417, 0.095)
Rb (0.624, 0.707, 0.529)
Rb (0.678, 0.083, 0.707)
Rb (0.678, 0.095, 0.971)
Rb (0.707, 0.529, 0.624)
Rb (0.707, 0.678, 0.083)
Rb (0.793, 0.417, 0.822)
Rb (0.793, 0.876, 0.971)
Rb (0.822, 0.529, 0.405)
Rb (0.822, 0.793, 0.417)
Rb (0.876, 0.405, 0.083)
Rb (0.876, 0.971, 0.793)
Rb (0.905, 0.029, 0.322)
Rb (0.905, 0.376, 0.583)
Rb (0.917, 0.124, 0.595)
Rb (0.917, 0.293, 0.322)
Rb (0.971, 0.678, 0.095)
Rb (0.971, 0.793, 0.876)
P (0.125, 0.250, 0.375)
P (0.125, 0.375, 0.750)
P (0.250, 0.375, 0.125)
P (0.250, 0.875, 0.625)
P (0.375, 0.125, 0.250)
P (0.375, 0.750, 0.125)
P (0.625, 0.250, 0.875)
P (0.625, 0.875, 0.750)
P (0.750, 0.125, 0.375)
P (0.750, 0.625, 0.875)
P (0.875, 0.625, 0.250)
P (0.875, 0.750, 0.625)
F (0.000, 0.000, 0.000)
F (0.000, 0.000, 0.500)
F (0.000, 0.500, 0.000)
F (0.000, 0.500, 0.500)
F (0.125, 0.750, 0.875)
F (0.125, 0.875, 0.250)
F (0.250, 0.125, 0.875)
F (0.250, 0.625, 0.375)
F (0.375, 0.250, 0.625)
F (0.375, 0.625, 0.750)
F (0.500, 0.000, 0.000)
F (0.500, 0.000, 0.500)
F (0.500, 0.500, 0.000)
F (0.500, 0.500, 0.500)
F (0.625, 0.375, 0.250)
F (0.625, 0.750, 0.375)
F (0.750, 0.375, 0.625)
F (0.750, 0.875, 0.125)
F (0.875, 0.125, 0.750)
F (0.875, 0.250, 0.125)

=====

(18)
A plane-wave DFT calculation with PBE-GGA was carried out for crystalline Rb3PF at its relaxed geometry.

Values from the calculation:
The space group is Pm-3m. For the density of states at the Fermi level, the calculation gives 4.3 states/eV/cell. As for the energy above the most stable polymorph in this dataset: 83 meV/atom. Its formation energy (no corrections) is -1.053 eV per atom.

a = 5.491 Å, b = 5.491 Å, c = 5.491 Å
α = 90.00°, β = 90.00°, γ = 90.00°
Fractional coordinates of all 5 atoms:
Rb (0.000, 0.000, 0.500)
Rb (0.000, 0.500, 0.000)
Rb (0.500, 0.000, 0.000)
P (0.500, 0.500, 0.500)
F (0.000, 0.000, 0.000)

=====

(19)
A plane-wave DFT calculation with PBE-GGA was carried out for crystalline Rb2PRuF6 at its relaxed geometry.

Values from the calculation:
The space group is I4/mmm. For the density of states at the Fermi level, the calculation gives 11.5 states/eV/cell. Its formation energy (no corrections) is -1.796 eV per atom.

a = 6.745 Å, b = 6.745 Å, c = 6.745 Å
α = 129.61°, β = 129.61°, γ = 74.04°
Fractional coordinates of all 10 atoms:
Rb (0.250, 0.750, 0.500)
Rb (0.750, 0.250, 0.500)
P (0.000, 0.000, 0.000)
Ru (0.500, 0.500, 0.000)
F (0.241, 0.241, 0.483)
F (0.241, 0.759, 0.000)
F (0.308, 0.308, 0.000)
F (0.692, 0.692, 0.000)
F (0.759, 0.241, 0.000)
F (0.759, 0.759, 0.517)

=====

(20)
A plane-wave DFT calculation with PBE-GGA was carried out for crystalline Rb2PSF6 at its relaxed geometry.

Values from the calculation:
The space group is I4/mmm. For the density of states at the Fermi level, the calculation gives 20.9 states/eV/cell. Its formation energy (no corrections) is -2.170 eV per atom.

a = 6.732 Å, b = 6.732 Å, c = 6.732 Å
α = 120.89°, β = 120.89°, γ = 88.47°
Fractional coordinates of all 10 atoms:
Rb (0.250, 0.750, 0.500)
Rb (0.750, 0.250, 0.500)
P (0.000, 0.000, 0.000)
S (0.500, 0.500, 0.000)
F (0.170, 0.170, 0.000)
F (0.175, 0.175, 0.349)
F (0.175, 0.825, 0.000)
F (0.825, 0.175, 0.000)
F (0.825, 0.825, 0.651)
F (0.830, 0.830, 0.000)